Record 1
# ZnTc2Hg PBE relaxed
# crystal system = orthorhombic
# ΔE_f = 2.02 eV per formula unit
# excess energy over the best structure of this formula in the dataset = 376 meV/atom
# M_tot = 0.00 μB/f.u.
# mass density = 11.90 g/cm³
# E = -40.57 eV/cell
# Fermi-level density of states = 2.647 states/eV/f.u.
data_ZnTc2Hg
_cell_length_a 3.138
_cell_length_b 4.464
_cell_length_c 9.209
_cell_angle_alpha 90.00
_cell_angle_beta 90.00
_cell_angle_gamma 90.00
_symmetry_space_group_name_H-M 'C m m m'
_symmetry_Int_Tables_number 65
_symmetry_space_group_name_Hall '-C 2 2'
loop_
_atom_site_label
_atom_site_type_symbol
_atom_site_fract_x
_atom_site_fract_y
_atom_site_fract_z
Zn1 Zn 0.000 0.000 0.000
Tc1 Tc 0.000 0.500 0.233
Hg1 Hg 0.000 0.000 0.500


Record 2
# Na4Th3Se8 PBE relaxed
# crystal system = trigonal
# formation energy (no corrections) = -1509 meV/atom
# M_tot = 0.00 μB/f.u.
# mass density = 4.86 g/cm³
# E = -234.15 eV/cell
# Fermi-level density of states = 0.000 states/eV/f.u.
data_Na4Th3Se8
_cell_length_a 8.6326
_cell_length_b 8.6326
_cell_length_c 22.5507
_cell_angle_alpha 90.00
_cell_angle_beta 90.00
_cell_angle_gamma 120.00
_symmetry_space_group_name_H-M 'R -3 m'
_symmetry_Int_Tables_number 166
_symmetry_space_group_name_Hall '-R 3 2"'
loop_
_atom_site_label
_atom_site_type_symbol
_atom_site_fract_x
_atom_site_fract_y
_atom_site_fract_z
Na1 Na 0.0000 0.0000 0.0000
Na2 Na 0.0000 0.0000 0.1379
Na3 Na 0.0000 0.0000 0.5000
Th1 Th 0.0000 0.5000 0.0000
Se1 Se 0.0000 0.0000 0.2636
Se2 Se 0.0169 0.5085 0.2619


Record 3
# Na6CrAs4 PBE relaxed
# crystal system = hexagonal
# ΔE_f = -3.88 eV per formula unit
# M_tot = 0.00 μB/f.u.
# mass density = 2.98 g/cm³
# E = -80.02 eV/cell
# Fermi-level density of states = 0.942 states/eV/f.u.
data_Na6CrAs4
_cell_length_a 9.3212
_cell_length_b 9.3212
_cell_length_c 7.2505
_cell_angle_alpha 90.00
_cell_angle_beta 90.00
_cell_angle_gamma 120.00
_symmetry_space_group_name_H-M 'P 63 m c'
_symmetry_Int_Tables_number 186
_symmetry_space_group_name_Hall 'P 6c -2c'
loop_
_atom_site_label
_atom_site_type_symbol
_atom_site_fract_x
_atom_site_fract_y
_atom_site_fract_z
Na1 Na 0.0579 0.5290 0.0000
Na2 Na 0.1473 0.2946 0.3152
Cr1 Cr 0.3333 0.6667 0.6131
As1 As 0.1966 0.3933 0.7125
As2 As 0.3333 0.6667 0.2930


Record 4
# PrSm2Pa PBE relaxed
# crystal system = trigonal
# ΔE_f = 1.32 eV per formula unit
# excess energy over the best structure of this formula in the dataset = 185 meV/atom
# M_tot = 0.00 μB/f.u.
# mass density = 8.94 g/cm³
# E = -67.19 eV/cell
# Fermi-level density of states = 5.350 states/eV/f.u.
data_PrSm2Pa
_cell_length_a 3.3902
_cell_length_b 3.3902
_cell_length_c 37.6685
_cell_angle_alpha 90.00
_cell_angle_beta 90.00
_cell_angle_gamma 120.00
_symmetry_space_group_name_H-M 'R -3 m'
_symmetry_Int_Tables_number 166
_symmetry_space_group_name_Hall '-R 3 2"'
loop_
_atom_site_label
_atom_site_type_symbol
_atom_site_fract_x
_atom_site_fract_y
_atom_site_fract_z
Pr1 Pr 0.0000 0.0000 0.0000
Sm1 Sm 0.0000 0.0000 0.4144
Pa1 Pa 0.0000 0.0000 0.5000


Record 5
# ZrTl2Fe PBE relaxed
# crystal system = monoclinic
# ΔE_f = 1.33 eV per formula unit
# excess energy over the best structure of this formula in the dataset = 140 meV/atom
# M_tot = 2.43 μB/f.u.
# mass density = 10.88 g/cm³
# E = -20.41 eV/cell
# Fermi-level density of states = 2.930 states/eV/f.u.
data_ZrTl2Fe
_cell_length_a 3.157
_cell_length_b 4.526
_cell_length_c 6.086
_cell_angle_alpha 90.00
_cell_angle_beta 102.75
_cell_angle_gamma 90.00
_symmetry_space_group_name_H-M 'P 1 2/m 1'
_symmetry_Int_Tables_number 10
loop_
_symmetry_equiv_pos_as_xyz
'x,y,z'
'-x,-y,-z'
'-x,y,-z'
'x,-y,z'
loop_
_atom_site_label
_atom_site_type_symbol
_atom_site_fract_x
_atom_site_fract_y
_atom_site_fract_z
Zr1 Zr 0.000 0.000 0.000
Tl1 Tl 0.344 0.500 0.738
Fe1 Fe 0.500 0.000 0.500


Record 6
# Ti4CdCo PBE relaxed
# crystal system = tetragonal
# ΔE_f = -1.05 eV per formula unit
# M_tot = 0.30 μB/f.u.
# mass density = 6.12 g/cm³
# E = -40.65 eV/cell
# Fermi-level density of states = 3.891 states/eV/f.u.
data_Ti4CdCo
_cell_length_a 2.965
_cell_length_b 2.965
_cell_length_c 11.207
_cell_angle_alpha 90.00
_cell_angle_beta 90.00
_cell_angle_gamma 90.00
_symmetry_space_group_name_H-M 'P 4/m m m'
_symmetry_Int_Tables_number 123
_symmetry_space_group_name_Hall '-P 4 2'
loop_
_atom_site_label
_atom_site_type_symbol
_atom_site_fract_x
_atom_site_fract_y
_atom_site_fract_z
Ti1 Ti 0.000 0.000 0.135
Ti2 Ti 0.500 0.500 0.302
Cd1 Cd 0.000 0.000 0.500
Co1 Co 0.500 0.500 0.000


Record 7
# Tb12TlPd5 PBE relaxed
# crystal system = orthorhombic
# ΔE_f = -10.03 eV per formula unit
# M_tot = 0.00 μB/f.u.
# mass density = 9.15 g/cm³
# E = -187.84 eV/cell
# Fermi-level density of states = 16.792 states/eV/f.u.
data_Tb12TlPd5
_cell_length_a 9.549
_cell_length_b 9.754
_cell_length_c 10.305
_cell_angle_alpha 90.00
_cell_angle_beta 90.00
_cell_angle_gamma 90.00
_symmetry_space_group_name_H-M 'I m m m'
_symmetry_Int_Tables_number 71
_symmetry_space_group_name_Hall '-I 2 2'
loop_
_atom_site_label
_atom_site_type_symbol
_atom_site_fract_x
_atom_site_fract_y
_atom_site_fract_z
Tb1 Tb 0.000 0.190 0.226
Tb2 Tb 0.200 0.500 0.174
Tb3 Tb 0.214 0.320 0.500
Tl1 Tl 0.000 0.000 0.500
Pd1 Pd 0.000 0.000 0.000
Pd2 Pd 0.000 0.350 0.000
Pd3 Pd 0.000 0.500 0.367


Record 8
# Cu2MoPd8 PBE relaxed
# crystal system = orthorhombic
# ΔE_f = 0.35 eV per formula unit
# excess energy over the best structure of this formula in the dataset = 0 meV/atom
# M_tot = 0.00 μB/f.u.
# mass density = 10.50 g/cm³
# E = -120.44 eV/cell
# Fermi-level density of states = 13.003 states/eV/f.u.
data_Cu2MoPd8
_cell_length_a 7.949
_cell_length_b 10.429
_cell_length_c 4.098
_cell_angle_alpha 90.00
_cell_angle_beta 90.00
_cell_angle_gamma 90.00
_symmetry_space_group_name_H-M 'C m m m'
_symmetry_Int_Tables_number 65
_symmetry_space_group_name_Hall '-C 2 2'
loop_
_atom_site_label
_atom_site_type_symbol
_atom_site_fract_x
_atom_site_fract_y
_atom_site_fract_z
Cu1 Cu 0.000 0.115 0.000
Mo1 Mo 0.000 0.500 0.500
Pd1 Pd 0.000 0.248 0.500
Pd2 Pd 0.169 0.000 0.500
Pd3 Pd 0.172 0.368 0.000


Record 9
# PrHo2Ga PBE relaxed
# crystal system = tetragonal
# ΔE_f = -0.90 eV per formula unit
# excess energy over the best structure of this formula in the dataset = 62 meV/atom
# M_tot = 0.00 μB/f.u.
# mass density = 8.26 g/cm³
# E = -17.86 eV/cell
# Fermi-level density of states = 5.011 states/eV/f.u.
data_PrHo2Ga
_cell_length_a 4.787
_cell_length_b 4.787
_cell_length_c 4.739
_cell_angle_alpha 90.00
_cell_angle_beta 90.00
_cell_angle_gamma 90.00
_symmetry_space_group_name_H-M 'P 4/m m m'
_symmetry_Int_Tables_number 123
_symmetry_space_group_name_Hall '-P 4 2'
loop_
_atom_site_label
_atom_site_type_symbol
_atom_site_fract_x
_atom_site_fract_y
_atom_site_fract_z
Pr1 Pr 0.000 0.000 0.000
Ho1 Ho 0.000 0.500 0.500
Ga1 Ga 0.500 0.500 0.000


Record 10
# KCrPb2 PBE relaxed
# crystal system = orthorhombic
# ΔE_f = 1.27 eV per formula unit
# excess energy over the best structure of this formula in the dataset = 140 meV/atom
# M_tot = 3.56 μB/f.u.
# mass density = 6.56 g/cm³
# E = -33.73 eV/cell
# Fermi-level density of states = 2.338 states/eV/f.u.
data_KCrPb2
_cell_length_a 3.522
_cell_length_b 4.427
_cell_length_c 16.408
_cell_angle_alpha 90.00
_cell_angle_beta 90.00
_cell_angle_gamma 90.00
_symmetry_space_group_name_H-M 'I m m 2'
_symmetry_Int_Tables_number 44
loop_
_symmetry_equiv_pos_as_xyz
'x,y,z'
'-x,-y,z'
'-x,y,z'
'x,-y,z'
'x+1/2,y+1/2,z+1/2'
'-x+1/2,-y+1/2,z+1/2'
'-x+1/2,y+1/2,z+1/2'
'x+1/2,-y+1/2,z+1/2'
loop_
_atom_site_label
_atom_site_type_symbol
_atom_site_fract_x
_atom_site_fract_y
_atom_site_fract_z
K1 K 0.000 0.000 0.000
Cr1 Cr 0.000 0.500 0.289
Pb1 Pb 0.000 0.000 0.649
Pb2 Pb 0.000 0.500 0.817


Record 11
# Pr2Ho9Sc PBE relaxed
# crystal system = tetragonal
# ΔE_f = 0.41 eV per formula unit
# M_tot = 0.00 μB/f.u.
# mass density = 8.01 g/cm³
# E = -56.68 eV/cell
# Fermi-level density of states = 17.998 states/eV/f.u.
data_Pr2Ho9Sc
_cell_length_a 5.008
_cell_length_b 5.008
_cell_length_c 14.974
_cell_angle_alpha 90.00
_cell_angle_beta 90.00
_cell_angle_gamma 90.00
_symmetry_space_group_name_H-M 'P 4/m m m'
_symmetry_Int_Tables_number 123
_symmetry_space_group_name_Hall '-P 4 2'
loop_
_atom_site_label
_atom_site_type_symbol
_atom_site_fract_x
_atom_site_fract_y
_atom_site_fract_z
Pr1 Pr 0.000 0.000 0.169
Ho1 Ho 0.000 0.500 0.000
Ho2 Ho 0.000 0.500 0.340
Ho3 Ho 0.500 0.500 0.170
Ho4 Ho 0.500 0.500 0.500
Sc1 Sc 0.000 0.000 0.500


Record 12
# CrCdOs2 PBE relaxed
# crystal system = tetragonal
# ΔE_f = 1.44 eV per formula unit
# M_tot = 0.00 μB/f.u.
# mass density = 15.06 g/cm³
# E = -31.56 eV/cell
# Fermi-level density of states = 3.932 states/eV/f.u.
data_CrCdOs2
_cell_length_a 2.772
_cell_length_b 2.772
_cell_length_c 7.816
_cell_angle_alpha 90.00
_cell_angle_beta 90.00
_cell_angle_gamma 90.00
_symmetry_space_group_name_H-M 'P 4/m m m'
_symmetry_Int_Tables_number 123
_symmetry_space_group_name_Hall '-P 4 2'
loop_
_atom_site_label
_atom_site_type_symbol
_atom_site_fract_x
_atom_site_fract_y
_atom_site_fract_z
Cr1 Cr 0.000 0.000 0.000
Cd1 Cd 0.000 0.000 0.500
Os1 Os 0.500 0.500 0.214


Record 13
# Ce2InI6 PBE relaxed
# crystal system = trigonal
# formation energy (no corrections) = -1096 meV/atom
# M_tot = 3.00 μB/f.u.
# mass density = 4.36 g/cm³
# E = -101.32 eV/cell
# Fermi-level density of states = 15.927 states/eV/f.u.
data_Ce2InI6
_cell_length_a 8.3575
_cell_length_b 8.3575
_cell_length_c 21.8388
_cell_angle_alpha 90.00
_cell_angle_beta 90.00
_cell_angle_gamma 120.00
_symmetry_space_group_name_H-M 'R 3'
_symmetry_Int_Tables_number 146
_symmetry_space_group_name_Hall 'R 3'
loop_
_atom_site_label
_atom_site_type_symbol
_atom_site_fract_x
_atom_site_fract_y
_atom_site_fract_z
Ce1 Ce 0.0000 0.0000 0.0000
Ce2 Ce 0.0000 0.0000 0.1740
In1 In 0.0000 0.0000 0.4991
I1 I 0.0160 0.3405 0.9232
I2 I 0.0375 0.6854 0.7539


Record 14
# Dy2Er3Ni2 PBE relaxed
# crystal system = monoclinic
# ΔE_f = -1.89 eV per formula unit
# M_tot = 0.00 μB/f.u.
# mass density = 9.13 g/cm³
# E = -72.69 eV/cell
# Fermi-level density of states = 9.473 states/eV/f.u.
data_Dy2Er3Ni2
_cell_length_a 12.066
_cell_length_b 3.575
_cell_length_c 8.913
_cell_angle_alpha 90.00
_cell_angle_beta 116.67
_cell_angle_gamma 90.00
_symmetry_space_group_name_H-M 'C 1 2/m 1'
_symmetry_Int_Tables_number 12
loop_
_symmetry_equiv_pos_as_xyz
'x,y,z'
'-x,-y,-z'
'-x,y,-z'
'x,-y,z'
'x+1/2,y+1/2,z'
'-x+1/2,-y+1/2,-z'
'-x+1/2,y+1/2,-z'
'x+1/2,-y+1/2,z'
loop_
_atom_site_label
_atom_site_type_symbol
_atom_site_fract_x
_atom_site_fract_y
_atom_site_fract_z
Dy1 Dy 0.166 0.000 0.310
Er1 Er 0.000 0.500 0.500
Er2 Er 0.116 0.500 0.933
Ni1 Ni 0.173 0.000 0.739


Record 15
# AcZn2Ni PBE relaxed
# crystal system = orthorhombic
# ΔE_f = -1.33 eV per formula unit
# M_tot = 0.00 μB/f.u.
# mass density = 8.46 g/cm³
# E = -55.07 eV/cell
# Fermi-level density of states = 2.629 states/eV/f.u.
data_AcZn2Ni
_cell_length_a 4.079
_cell_length_b 10.508
_cell_length_c 7.628
_cell_angle_alpha 90.00
_cell_angle_beta 90.00
_cell_angle_gamma 90.00
_symmetry_space_group_name_H-M 'C m c m'
_symmetry_Int_Tables_number 63
_symmetry_space_group_name_Hall '-C 2c 2'
loop_
_atom_site_label
_atom_site_type_symbol
_atom_site_fract_x
_atom_site_fract_y
_atom_site_fract_z
Ac1 Ac 0.000 0.053 0.250
Zn1 Zn 0.000 0.329 0.057
Ni1 Ni 0.000 0.223 0.750


Record 16
# PmSmTl PBE relaxed
# crystal system = trigonal
# ΔE_f = -0.48 eV per formula unit
# excess energy over the best structure of this formula in the dataset = 104 meV/atom
# M_tot = 0.00 μB/f.u.
# mass density = 8.89 g/cm³
# E = -12.32 eV/cell
# Fermi-level density of states = 1.958 states/eV/f.u.
data_PmSmTl
_cell_length_a 5.3433
_cell_length_b 5.3433
_cell_length_c 3.7756
_cell_angle_alpha 90.00
_cell_angle_beta 90.00
_cell_angle_gamma 120.00
_symmetry_space_group_name_H-M 'P 3 m 1'
_symmetry_Int_Tables_number 156
loop_
_symmetry_equiv_pos_as_xyz
'x,y,z'
'-y,x-y,z'
'-x+y,-x,z'
'-y,-x,z'
'-x+y,y,z'
'x,x-y,z'
loop_
_atom_site_label
_atom_site_type_symbol
_atom_site_fract_x
_atom_site_fract_y
_atom_site_fract_z
Pm1 Pm 0.0000 0.0000 0.0000
Sm1 Sm 0.6667 0.3333 0.5464
Tl1 Tl 0.3333 0.6667 0.3189


Record 17
# SrTcP2 PBE relaxed
# crystal system = monoclinic
# ΔE_f = -1.98 eV per formula unit
# excess energy over the best structure of this formula in the dataset = 78 meV/atom
# M_tot = 0.00 μB/f.u.
# mass density = 4.87 g/cm³
# E = -49.69 eV/cell
# Fermi-level density of states = 1.949 states/eV/f.u.
data_SrTcP2
_cell_length_a 7.466
_cell_length_b 3.769
_cell_length_c 6.070
_cell_angle_alpha 90.00
_cell_angle_beta 99.01
_cell_angle_gamma 90.00
_symmetry_space_group_name_H-M 'C 1 m 1'
_symmetry_Int_Tables_number 8
loop_
_symmetry_equiv_pos_as_xyz
'x,y,z'
'x,-y,z'
'x+1/2,y+1/2,z'
'x+1/2,-y+1/2,z'
loop_
_atom_site_label
_atom_site_type_symbol
_atom_site_fract_x
_atom_site_fract_y
_atom_site_fract_z
Sr1 Sr 0.000 0.000 0.000
Tc1 Tc 0.297 0.000 0.531
P1 P 0.118 0.500 0.643
P2 P 0.225 0.500 0.305


Record 18
# InAgP2Se6 PBE relaxed
# crystal system = trigonal
# formation energy (no corrections) = -226 meV/atom
# M_tot = 0.00 μB/f.u.
# mass density = 4.63 g/cm³
# E = -79.16 eV/cell
data_InAgP2Se6
_cell_length_a 6.5809
_cell_length_b 6.5809
_cell_length_c 14.5067
_cell_angle_alpha 90.00
_cell_angle_beta 90.00
_cell_angle_gamma 120.00
_symmetry_space_group_name_H-M 'P -3 1 c'
_symmetry_Int_Tables_number 163
_symmetry_space_group_name_Hall '-P 3 2c'
loop_
_atom_site_label
_atom_site_type_symbol
_atom_site_fract_x
_atom_site_fract_y
_atom_site_fract_z
In1 In 0.0000 0.0000 0.2500
Ag1 Ag 0.3333 0.6667 0.2500
P1 P 0.3333 0.6667 0.6713
Se1 Se 0.0177 0.3380 0.8730